(1)
{"formula": "LaRuO2F", "functional": "meta-GGA SCAN", "state": "PBEsol geometry", "e_tot_ev_per_atom": -20.91, "m_tot_mub_per_fu": 0.00, "formation_energy_uncorrected_ev_per_atom": -2.123, "sg": "No. 123", "n_ef_per_ev_cell": 0.84, "lattice_angstrom": [[-1.2517, 2.9194, 2.3639], [2.2420, -1.4653, 2.9968], [3.0844, 2.2859, -1.1899]], "species": ["O", "O", "La", "Ru", "F"], "fractional_positions": [[0.0000, 0.5000, 0.0000], [0.0000, 0.0000, 0.5000], [0.5000, 0.5000, 0.5000], [0.0000, 0.0000, 0.0000], [0.5000, 0.0000, 0.0000]]}

(2)
{"formula": "LaRuO2F", "functional": "meta-GGA SCAN", "state": "PBEsol geometry", "e_tot_ev_per_atom": -20.05, "m_tot_mub_per_fu": 4.00, "formation_energy_uncorrected_ev_per_atom": -1.266, "sg": "No. 123", "n_ef_per_ev_cell": 3.17, "lattice_angstrom": [[-2.6675, -3.1599, -1.7020], [3.0570, -0.8133, -3.2813], [2.0091, -3.1209, 2.6453]], "species": ["O", "O", "Ru", "F", "La"], "fractional_positions": [[0.0000, 0.0000, 0.5000], [0.0000, 0.5000, 0.0000], [0.5000, 0.5000, 0.5000], [0.5000, 0.0000, 0.0000], [0.0000, 0.0000, 0.0000]]}

Please write out number 2 again, unchanged.
{"formula": "LaRuO2F", "functional": "meta-GGA SCAN", "state": "PBEsol geometry", "e_tot_ev_per_atom": -20.05, "m_tot_mub_per_fu": 4.00, "formation_energy_uncorrected_ev_per_atom": -1.266, "sg": "No. 123", "n_ef_per_ev_cell": 3.17, "lattice_angstrom": [[-2.6675, -3.1599, -1.7020], [3.0570, -0.8133, -3.2813], [2.0091, -3.1209, 2.6453]], "species": ["O", "O", "Ru", "F", "La"], "fractional_positions": [[0.0000, 0.0000, 0.5000], [0.0000, 0.5000, 0.0000], [0.5000, 0.5000, 0.5000], [0.5000, 0.0000, 0.0000], [0.0000, 0.0000, 0.0000]]}